This record from Alexandria via LeMat-Bulk describes crystalline DyPaTeP at its relaxed geometry. The functional is PBE.

The value obtained for the total moment is 0.9 μB per cell. As for the space-group type: No. 160. For the formation energy from raw total energies, the calculation gives -4.9 eV per formula unit. The value obtained for the raw total energy is -27.6 eV per cell. The value obtained for the calculated volume is 102.9 Å³ per cell.

Unit cell a=7.734 b=7.734 c=7.734 alpha=30.08 beta=30.08 gamma=30.08
Fractional positions:
1 Dy 0.000 0.000 0.000
2 Pa 0.805 0.805 0.805
3 Te 0.235 0.235 0.235
4 P 0.403 0.403 0.403